## Pr6Sm5Ho (GGA-PBE)

Data for an optimized crystal structure of Pr6Sm5Ho.

Cell: 9.6878 9.6878 9.6878 Å, 148.91 115.63 73.20°
Atoms (fractional coordinates):
Pr 0.0828 0.3338 0.7490
Pr 0.2486 0.0000 0.2486
Pr 0.4153 0.6662 0.7490
Pr 0.5847 0.3338 0.2510
Pr 0.7514 0.0000 0.7514
Pr 0.9172 0.6662 0.2510
Sm 0.1663 0.1663 0.0000
Sm 0.3334 0.8334 0.5000
Sm 0.5000 0.5000 0.0000
Sm 0.6666 0.1666 0.5000
Sm 0.8337 0.8337 0.0000
Ho 0.0000 0.5000 0.5000

---

## PrSm12Ho6 (GGA-PBE)

Data for an optimized crystal structure of PrSm12Ho6.

The value obtained for the offset from the most stable computed form is 0 meV per atom.

Cell: 8.6222 8.6222 8.6222 Å, 88.84 88.84 88.84°
Atoms (fractional coordinates):
Pr 0.0000 0.0000 0.0000
Sm 0.0152 0.2000 0.3608
Sm 0.2000 0.3608 0.0152
Sm 0.2215 0.4617 0.5667
Sm 0.3608 0.0152 0.2000
Sm 0.4333 0.7785 0.5383
Sm 0.4617 0.5667 0.2215
Sm 0.5383 0.4332 0.7785
Sm 0.5668 0.2215 0.4617
Sm 0.6392 0.9848 0.8000
Sm 0.7785 0.5383 0.4332
Sm 0.8000 0.6392 0.9848
Sm 0.9848 0.8000 0.6392
Ho 0.0978 0.6964 0.2588
Ho 0.2588 0.0978 0.6964
Ho 0.3036 0.7412 0.9022
Ho 0.6964 0.2588 0.0978
Ho 0.7412 0.9022 0.3036
Ho 0.9022 0.3036 0.7412

---

## Pr5Sm2Ho12 (GGA-PBE)

Data for an optimized crystal structure of Pr5Sm2Ho12.

The value obtained for the offset from the most stable computed form is 0 meV per atom.

Cell: 6.2951 8.9240 12.1347 Å, 70.08 80.27 78.57°
Atoms (fractional coordinates):
Pr 0.0000 0.0000 0.0000
Pr 0.2226 0.3273 0.0092
Pr 0.3576 0.8415 0.5045
Pr 0.6424 0.1585 0.4955
Pr 0.7774 0.6727 0.9908
Sm 0.2500 0.4868 0.4374
Sm 0.7500 0.5132 0.5626
Ho 0.0798 0.1286 0.6671
Ho 0.1603 0.2077 0.3210
Ho 0.2390 0.4601 0.7118
Ho 0.2657 0.6045 0.1447
Ho 0.3155 0.7391 0.8304
Ho 0.4613 0.9271 0.1736
Ho 0.5387 0.0729 0.8264
Ho 0.6845 0.2609 0.1696
Ho 0.7343 0.3955 0.8553
Ho 0.7610 0.5399 0.2882
Ho 0.8397 0.7923 0.6790
Ho 0.9202 0.8714 0.3329

---

## Pr7SmHo4 (GGA-PBE)

Data for an optimized crystal structure of Pr7SmHo4.

The value obtained for the offset from the most stable computed form is 0 meV per atom.

Cell: 6.3697 7.3467 9.0525 Å, 89.97 76.49 89.96°
Atoms (fractional coordinates):
Pr 0.0000 0.0000 0.0000
Pr 0.2222 0.5003 0.3345
Pr 0.2805 0.7516 0.6647
Pr 0.4995 0.2466 0.9973
Pr 0.5005 0.7534 0.0027
Pr 0.7195 0.2484 0.3353
Pr 0.7778 0.4997 0.6655
Sm 0.0000 0.5000 0.0000
Ho 0.2189 0.0000 0.3360
Ho 0.2773 0.2454 0.6666
Ho 0.7227 0.7546 0.3334
Ho 0.7811 0.0000 0.6640

---

## Pr4Sm3Ho5 (GGA-PBE)

Data for an optimized crystal structure of Pr4Sm3Ho5.

The value obtained for the offset from the most stable computed form is 200 meV per atom.

Cell: 8.6331 8.6331 9.4349 Å, 114.67 114.67 40.64°
Atoms (fractional coordinates):
Pr 0.0848 0.0848 0.4459
Pr 0.2125 0.2125 0.8830
Pr 0.7875 0.7875 0.1170
Pr 0.9152 0.9152 0.5541
Sm 0.2113 0.2113 0.2354
Sm 0.5000 0.5000 0.0000
Sm 0.7887 0.7887 0.7646
Ho 0.0000 0.0000 0.0000
Ho 0.3289 0.3289 0.6150
Ho 0.4294 0.4294 0.3014
Ho 0.5706 0.5706 0.6986
Ho 0.6711 0.6711 0.3850

---

## Pr3Sm6Ho2 (GGA-PBE)

Data for an optimized crystal structure of Pr3Sm6Ho2.

The value obtained for the offset from the most stable computed form is 0 meV per atom.

Cell: 32.7242 32.7242 32.7242 Å, 6.39 6.39 6.39°
Atoms (fractional coordinates):
Pr 0.0000 0.0000 0.0000
Pr 0.0609 0.0609 0.0609
Pr 0.9391 0.9391 0.9391
Sm 0.1201 0.1201 0.1201
Sm 0.3030 0.3030 0.3030
Sm 0.4826 0.4826 0.4826
Sm 0.5174 0.5174 0.5174
Sm 0.6970 0.6970 0.6970
Sm 0.8799 0.8799 0.8799
Ho 0.4238 0.4238 0.4238
Ho 0.5762 0.5762 0.5762

---

## Pr12Sm5Ho2 (GGA-PBE)

Data for an optimized crystal structure of Pr12Sm5Ho2.

The value obtained for the offset from the most stable computed form is 43 meV per atom.

Cell: 10.4073 10.4073 10.1879 Å, 113.97 113.97 42.82°
Atoms (fractional coordinates):
Pr 0.0072 0.0072 0.2139
Pr 0.0745 0.5942 0.5001
Pr 0.0897 0.5907 0.1499
Pr 0.4058 0.9255 0.4999
Pr 0.4093 0.9103 0.8501
Pr 0.4920 0.4920 0.6730
Pr 0.5080 0.5080 0.3270
Pr 0.5907 0.0897 0.1499
Pr 0.5942 0.0745 0.5001
Pr 0.9103 0.4093 0.8501
Pr 0.9255 0.4058 0.4999
Pr 0.9928 0.9928 0.7861
Sm 0.0000 0.0000 0.5000
Sm 0.1753 0.1753 0.1706
Sm 0.3223 0.3223 0.8034
Sm 0.6777 0.6777 0.1966
Sm 0.8247 0.8247 0.8294
Ho 0.2990 0.7010 0.0000
Ho 0.7010 0.2990 0.0000

---

## Pr6Sm12Ho (GGA-PBE)

Data for an optimized crystal structure of Pr6Sm12Ho.

The value obtained for the offset from the most stable computed form is 0 meV per atom.

Cell: 8.7353 8.7353 8.7353 Å, 91.87 91.87 91.87°
Atoms (fractional coordinates):
Pr 0.2234 0.7588 0.3712
Pr 0.2412 0.6288 0.7766
Pr 0.3712 0.2234 0.7588
Pr 0.6288 0.7766 0.2412
Pr 0.7588 0.3712 0.2234
Pr 0.7766 0.2412 0.6288
Sm 0.0296 0.2913 0.9656
Sm 0.0344 0.9704 0.7087
Sm 0.1233 0.3598 0.4378
Sm 0.2913 0.9656 0.0296
Sm 0.3598 0.4378 0.1233
Sm 0.4378 0.1233 0.3598
Sm 0.5622 0.8767 0.6402
Sm 0.6402 0.5622 0.8767
Sm 0.7087 0.0344 0.9704
Sm 0.8767 0.6402 0.5622
Sm 0.9656 0.0296 0.2913
Sm 0.9704 0.7087 0.0344
Ho 0.5000 0.5000 0.5000

---

## PrSm2Ho6 (GGA-PBE)

Data for an optimized crystal structure of PrSm2Ho6.

The value obtained for the offset from the most stable computed form is 122 meV per atom.

Cell: 7.4629 7.4629 6.0768 Å, 90.00 90.00 120.00°
Atoms (fractional coordinates):
Pr 0.0000 0.0000 0.0000
Sm 0.3333 0.6667 0.7883
Sm 0.6667 0.3333 0.2117
Ho 0.1873 0.3747 0.2979
Ho 0.1873 0.8127 0.2979
Ho 0.3747 0.1873 0.7021
Ho 0.6253 0.8127 0.2979
Ho 0.8127 0.1873 0.7021
Ho 0.8127 0.6253 0.7021

---

## PrSm4Ho6 (GGA-PBE)

Data for an optimized crystal structure of PrSm4Ho6.

The value obtained for the offset from the most stable computed form is 161 meV per atom.

Cell: 9.7250 9.7250 9.7250 Å, 140.09 140.09 57.72°
Atoms (fractional coordinates):
Pr 0.0000 0.0000 0.0000
Sm 0.0139 0.0139 0.3783
Sm 0.3644 0.9861 0.0000
Sm 0.6356 0.6356 0.6217
Sm 0.9861 0.3644 0.0000
Ho 0.0000 0.5000 0.5000
Ho 0.1944 0.5513 0.0000
Ho 0.4487 0.4487 0.6430
Ho 0.5000 0.0000 0.5000
Ho 0.5513 0.1944 0.0000
Ho 0.8056 0.8056 0.3570

---

## Pr5Sm2Ho4 (GGA-PBE)

Data for an optimized crystal structure of Pr5Sm2Ho4.

The value obtained for the offset from the most stable computed form is 0 meV per atom.

Cell: 9.2518 9.2518 12.2555 Å, 106.74 106.74 22.48°
Atoms (fractional coordinates):
Pr 0.0000 0.0000 0.0000
Pr 0.3338 0.3338 0.9880
Pr 0.3833 0.3833 0.4841
Pr 0.6167 0.6167 0.5159
Pr 0.6662 0.6662 0.0120
Sm 0.1744 0.1744 0.2868
Sm 0.8256 0.8256 0.7132
Ho 0.1705 0.1705 0.7672
Ho 0.4958 0.4958 0.2490
Ho 0.5042 0.5042 0.7510
Ho 0.8295 0.8295 0.2328

---

## Pr6Sm16Ho7 (GGA-PBE)

Data for an optimized crystal structure of Pr6Sm16Ho7.

Cell: 11.3155 11.3155 11.3155 Å, 60.00 60.00 60.00°
Atoms (fractional coordinates):
Pr 0.2269 0.2269 0.7731
Pr 0.2269 0.7731 0.2269
Pr 0.2269 0.7731 0.7731
Pr 0.7731 0.2269 0.2269
Pr 0.7731 0.2269 0.7731
Pr 0.7731 0.7731 0.2269
Sm 0.1218 0.6261 0.6261
Sm 0.1514 0.1514 0.1514
Sm 0.1514 0.1514 0.5457
Sm 0.1514 0.5457 0.1514
Sm 0.3739 0.3739 0.3739
Sm 0.3739 0.3739 0.8782
Sm 0.3739 0.8782 0.3739
Sm 0.4543 0.8486 0.8486
Sm 0.5457 0.1514 0.1514
Sm 0.6261 0.1218 0.6261
Sm 0.6261 0.6261 0.1218
Sm 0.6261 0.6261 0.6261
Sm 0.8486 0.4543 0.8486
Sm 0.8486 0.8486 0.4543
Sm 0.8486 0.8486 0.8486
Sm 0.8782 0.3739 0.3739
Ho 0.0000 0.0000 0.5000
Ho 0.0000 0.5000 0.0000
Ho 0.0000 0.5000 0.5000
Ho 0.5000 0.0000 0.0000
Ho 0.5000 0.0000 0.5000
Ho 0.5000 0.5000 0.0000
Ho 0.5000 0.5000 0.5000

---

## Pr4SmHo10 (GGA-PBE)

Data for an optimized crystal structure of Pr4SmHo10.

Cell: 8.9348 8.9348 8.9348 Å, 101.61 101.61 126.68°
Atoms (fractional coordinates):
Pr 0.2272 0.2272 0.4544
Pr 0.2272 0.7728 0.0000
Pr 0.7728 0.2272 0.0000
Pr 0.7728 0.7728 0.5456
Sm 0.0000 0.0000 0.0000
Ho 0.0873 0.2951 0.7922
Ho 0.2500 0.7500 0.5000
Ho 0.2951 0.0873 0.7922
Ho 0.2951 0.5028 0.2078
Ho 0.4972 0.7049 0.7922
Ho 0.5028 0.2951 0.2078
Ho 0.7049 0.4972 0.7922
Ho 0.7049 0.9127 0.2078
Ho 0.7500 0.2500 0.5000
Ho 0.9127 0.7049 0.2078

---

## Pr5Sm3Ho2 (GGA-PBE)

Data for an optimized crystal structure of Pr5Sm3Ho2.

The value obtained for the offset from the most stable computed form is 185 meV per atom.

Cell: 10.0816 10.0816 10.0816 Å, 123.50 93.50 112.77°
Atoms (fractional coordinates):
Pr 0.0022 0.7500 0.2522
Pr 0.1250 0.1039 0.2289
Pr 0.2500 0.2500 0.0000
Pr 0.3750 0.6039 0.9789
Pr 0.4978 0.7500 0.7478
Pr 0.5022 0.2500 0.2522
Pr 0.6250 0.3961 0.0211
Pr 0.7500 0.7500 0.0000
Pr 0.8750 0.8961 0.7711
Pr 0.9978 0.2500 0.7478
Sm 0.1247 0.7506 0.8753
Sm 0.2500 0.7500 0.5000
Sm 0.3753 0.2506 0.6259
Sm 0.6247 0.7494 0.3741
Sm 0.7500 0.2500 0.5000
Sm 0.8753 0.2494 0.1247
Ho 0.1219 0.4158 0.5377
Ho 0.3781 0.9158 0.2938
Ho 0.6219 0.0842 0.7062
Ho 0.8781 0.5842 0.4623

---

## PrSmHo (GGA-PBE)

Data for an optimized crystal structure of PrSmHo.

The value obtained for the offset from the most stable computed form is 19 meV per atom.

Cell: 8.0927 8.0927 8.0927 Å, 154.08 154.08 36.98°
Atoms (fractional coordinates):
Pr 0.0000 0.0000 0.0000
Sm 0.6705 0.6705 0.0000
Ho 0.3336 0.3336 0.0000

---

## Pr4Sm7Ho (GGA-PBE)

Data for an optimized crystal structure of Pr4Sm7Ho.

The value obtained for the offset from the most stable computed form is 133 meV per atom.

Cell: 8.7919 8.7919 9.3765 Å, 114.55 114.55 40.34°
Atoms (fractional coordinates):
Pr 0.0758 0.0758 0.2023
Pr 0.1748 0.1748 0.8864
Pr 0.8252 0.8252 0.1136
Pr 0.9242 0.9242 0.7977
Sm 0.0000 0.0000 0.5000
Sm 0.2905 0.2905 0.6249
Sm 0.2929 0.2929 0.2773
Sm 0.4202 0.4202 0.0666
Sm 0.5798 0.5798 0.9334
Sm 0.7071 0.7071 0.7227
Sm 0.7095 0.7095 0.3751
Ho 0.5000 0.5000 0.5000

---

## PrSm14Ho (GGA-PBE)

Data for an optimized crystal structure of PrSm14Ho.

Cell: 11.7327 7.2831 7.2831 Å, 60.00 90.00 90.00°
Atoms (fractional coordinates):
Pr 0.0000 0.0000 0.0000
Sm 0.0000 0.9998 0.5015
Sm 0.0000 0.5015 0.9998
Sm 0.2485 0.3338 0.3338
Sm 0.2497 0.3341 0.8328
Sm 0.2497 0.8328 0.3341
Sm 0.2516 0.8333 0.8333
Sm 0.5000 0.1666 0.1666
Sm 0.5000 0.1671 0.6658
Sm 0.5000 0.6658 0.1671
Sm 0.5000 0.6662 0.6662
Sm 0.7484 0.8333 0.8333
Sm 0.7503 0.3341 0.8328
Sm 0.7503 0.8328 0.3341
Sm 0.7515 0.3338 0.3338
Ho 0.0000 0.5006 0.5006

---

## Pr6Sm4Ho (GGA-PBE)

Data for an optimized crystal structure of Pr6Sm4Ho.

The value obtained for the offset from the most stable computed form is 3 meV per atom.

Cell: 9.6823 9.6823 9.6823 Å, 138.45 138.45 60.21°
Atoms (fractional coordinates):
Pr 0.0000 0.5000 0.5000
Pr 0.0123 0.6318 0.0000
Pr 0.3682 0.3682 0.3806
Pr 0.5000 0.0000 0.5000
Pr 0.6318 0.0123 0.0000
Pr 0.9877 0.9877 0.6194
Sm 0.2095 0.2095 0.6517
Sm 0.4422 0.7905 0.0000
Sm 0.5578 0.5578 0.3483
Sm 0.7905 0.4422 0.0000
Ho 0.0000 0.0000 0.0000

---

| no. | ΔE_f (eV/atom) |
| --- | --- |
| 1 | 0.013 |
| 2 | 0.141 |
| 3 | 0.063 |
| 4 | 0.006 |
| 5 | 0.218 |
| 6 | 0.035 |
| 7 | 0.163 |
| 8 | 0.157 |
| 9 | 0.228 |
| 10 | 0.316 |
| 11 | 0.142 |
| 12 | 0.212 |
| 13 | 0.269 |
| 14 | 0.353 |
| 15 | 0.023 |
| 16 | 0.217 |
| 17 | 0.001 |
| 18 | 0.279 |